Entry 1:
First-principles (PBE-GGA) data for crystalline WC8 at its relaxed geometry, as listed in Alexandria.

Crystal system: tetragonal
V, Å³ per cell: 189.0

```
data_WC8
_chemical_formula_sum 'W1 C8'
_cell_length_a 8.801
_cell_length_b 8.801
_cell_length_c 8.801
_cell_angle_alpha 91.15
_cell_angle_beta 91.15
_cell_angle_gamma 163.74
_space_group_name_H-M_alt 'P 1'
_space_group_IT_number 1
loop_
_space_group_symop_operation_xyz
'x,y,z'
loop_
_atom_site_label
_atom_site_type_symbol
_atom_site_fract_x
_atom_site_fract_y
_atom_site_fract_z
W1 W 0.000 0.000 0.000
C1 C 0.250 0.250 0.500
C2 C 0.572 0.000 0.572
C3 C 0.750 0.750 0.500
C4 C 0.000 0.428 0.428
C5 C 0.250 0.750 0.000
C6 C 0.750 0.250 0.000
C7 C 0.428 0.000 0.428
C8 C 0.000 0.572 0.572
```

=====

Entry 2:
First-principles (PBE-GGA) data for crystalline LaGa2Ni at its relaxed geometry, as listed in Alexandria.

Crystal system: orthorhombic
V, Å³ per cell: 160.5

```
data_LaGa2Ni
_chemical_formula_sum 'La2 Ga4 Ni2'
_cell_length_a 9.119
_cell_length_b 9.119
_cell_length_c 4.231
_cell_angle_alpha 90.00
_cell_angle_beta 90.00
_cell_angle_gamma 152.86
_space_group_name_H-M_alt 'P 1'
_space_group_IT_number 1
loop_
_space_group_symop_operation_xyz
'x,y,z'
loop_
_atom_site_label
_atom_site_type_symbol
_atom_site_fract_x
_atom_site_fract_y
_atom_site_fract_z
Ni1 Ni 0.428 0.572 0.500
Ni2 Ni 0.572 0.428 0.500
Ga1 Ga 0.709 0.291 0.500
Ga2 Ga 0.000 0.000 0.500
Ga3 Ga 0.291 0.709 0.500
Ga4 Ga 0.500 0.500 0.000
La1 La 0.860 0.140 0.000
La2 La 0.140 0.860 0.000
```

=====

Entry 3:
First-principles (PBE-GGA) data for crystalline CsSrP at its relaxed geometry, as listed in Alexandria.

Crystal system: triclinic
V, Å³ per cell: 302.3

```
data_CsSrP
_chemical_formula_sum 'Cs2 Sr2 P2'
_cell_length_a 9.156
_cell_length_b 6.111
_cell_length_c 5.567
_cell_angle_alpha 87.56
_cell_angle_beta 100.49
_cell_angle_gamma 99.17
_space_group_name_H-M_alt 'P 1'
_space_group_IT_number 1
loop_
_space_group_symop_operation_xyz
'x,y,z'
loop_
_atom_site_label
_atom_site_type_symbol
_atom_site_fract_x
_atom_site_fract_y
_atom_site_fract_z
Sr1 Sr 0.461 0.421 0.786
Sr2 Sr 0.294 0.969 0.259
P1 P 0.192 0.063 0.721
P2 P 0.406 0.902 0.795
Cs1 Cs 0.020 0.507 0.750
Cs2 Cs 0.755 0.963 0.290
```

=====

| no. | E_form (eV/atom) |
| --- | --- |
| 1 | 2.58 |
| 2 | -0.64 |
| 3 | -0.45 |